Entry 1:
Computed, not measured: a relaxed structure of BaTl3Re at the PBE level of DFT.

Cell and atoms, written as POSCAR:
```
BaTl3Re
1.0
-4.2604 3.1251 -1.0547
-3.0417 -3.0564 3.2305
1.2755 3.1499 4.1810
Re Tl Ba
1 3 1
Cartesian
0.0000 0.0000 0.0000 Re
-1.5208 -1.5282 1.6153 Tl
0.6378 1.5749 2.0905 Tl
-2.1302 1.5626 -0.5273 Tl
-3.0133 1.6093 3.1784 Ba
```

formation energy from the elements: 0.186 eV per atom
total energy: -0.151 Ha/atom
energy above the lowest structure with this stoichiometry: 0.000 eV per atom

=====

Entry 2:
Computed, not measured: a relaxed structure of BaTlRe2 at the PBE level of DFT.

Cell and atoms, written as POSCAR:
```
BaTlRe2
1.0
-3.9715 5.5172 -1.4718
-6.8620 0.0839 -1.1333
5.2888 -1.7088 4.1817
Re Tl Ba
2 1 1
Cartesian
-10.2758 5.3128 -2.4710 Re
-2.9916 3.7915 0.4771 Re
-5.3179 2.7494 -1.2788 Tl
-3.2094 0.4402 0.9415 Ba
```

formation energy from the elements: 0.860 eV per atom
total energy: -0.237 Ha/atom
energy above the lowest structure with this stoichiometry: 0.415 eV per atom